## PdRuO2 (PBE-GGA)

Data for an optimized crystal structure of PdRuO2.

```
4
Lattice="0.000 2.774 2.774 2.774 0.000 2.774 2.774 2.774 0.000" Properties=species:S:1:pos:R:3 pbc="T T T"
Pd 0.000 0.000 0.000
Ru 2.774 2.774 2.774
O 1.387 1.387 1.387
O 4.161 4.161 4.161
```

As for the formation energy without anion corrections: 1.5 eV/f.u. Its uncorrected energy is -5.71 eV/atom. As for the space group: Fm-3m. Its size of the total moment is 0.00 μB per formula unit.

=====

## PdRu2O (PBE-GGA)

Data for an optimized crystal structure of PdRu2O.

```
8
Lattice="-2.251 2.251 6.365 2.251 -2.251 6.365 2.251 2.251 -6.365" Properties=species:S:1:pos:R:3 pbc="T T T"
Pd 0.000 0.000 0.000
Pd 0.000 2.251 3.183
Ru 1.125 -0.498 4.774
Ru 1.753 1.125 1.591
Ru 1.125 2.749 -1.591
Ru 0.498 1.125 7.957
O 2.251 0.000 3.183
O 0.000 0.000 6.365
```

As for the formation energy without anion corrections: 2.0 eV/f.u. Its uncorrected energy is -6.67 eV/atom. As for the space group: I-42d. Its size of the total moment is 0.00 μB per formula unit.

=====

## PdRu2O8 (PBE-GGA)

Data for an optimized crystal structure of PdRu2O8.

```
11
Lattice="5.046 -4.072 0.000 5.046 4.072 0.000 -0.518 0.000 5.134" Properties=species:S:1:pos:R:3 pbc="T T T"
Pd 0.000 0.000 0.000
Ru 1.859 0.000 2.355
Ru 7.715 0.000 2.778
O 3.588 2.843 3.798
O 1.287 0.000 4.023
O 5.987 2.843 1.336
O 3.508 0.000 1.969
O 6.066 0.000 3.164
O 3.588 -2.843 3.798
O 8.287 0.000 1.110
O 5.987 -2.843 1.336
```

As for the formation energy without anion corrections: -5.8 eV/f.u. Its uncorrected energy is -6.29 eV/atom. As for the space group: C2/m. Its size of the total moment is 0.00 μB per formula unit.

=====

## PdRu2O6 (PBE-GGA)

Data for an optimized crystal structure of PdRu2O6.

```
27
Lattice="8.771 0.000 0.000 -4.386 7.596 0.000 0.000 0.000 4.355" Properties=species:S:1:pos:R:3 pbc="T T T"
Pd 0.000 0.000 0.000
Pd 0.000 5.064 2.171
Pd 4.386 2.532 2.184
Ru -1.534 2.658 0.000
Ru -3.000 5.196 2.177
Ru 1.385 2.400 2.177
Ru 3.069 0.000 0.000
Ru 2.851 4.938 0.000
Ru 6.000 0.000 2.177
O -1.581 4.315 1.081
O -0.062 1.742 1.062
O -2.846 6.779 1.062
O -0.062 3.310 3.248
O -1.488 5.994 3.248
O 1.539 0.817 3.293
O 1.439 4.070 1.081
O 2.898 1.602 1.107
O 0.142 6.808 1.081
O 2.805 3.281 3.274
O 1.550 5.887 3.248
O 4.527 0.788 3.274
O 2.908 6.671 1.062
O 4.324 4.286 1.107
O 5.935 1.709 1.107
O 4.323 5.854 3.293
O 7.294 0.925 3.293
O 5.825 3.526 3.274
```

As for the formation energy without anion corrections: -6.7 eV/f.u. Its uncorrected energy is -6.68 eV/atom. As for the space group: P321. Its size of the total moment is 0.00 μB per formula unit.